Record 1
The following is a DFT calculation (PBE-GGA) of crystalline NdErI2 at its relaxed geometry.

ΔE_f (raw), meV/atom: -697
Fermi-level density of states, states/eV per atom: 0.541
Density, Mg/m³: 6.6
Total energy, eV per cell: -45.66

CIF file:
```
data_NdErI2
_chemical_formula_sum 'Nd3 Er3 I6'
_space_group_name_H-M_alt 'R -3 m'
_space_group_IT_number 166
_space_group_name_Hall '-R 3 2"'
_cell_length_a 3.8973
_cell_length_b 3.8973
_cell_length_c 32.2539
_cell_angle_alpha 90.00
_cell_angle_beta 90.00
_cell_angle_gamma 120.00
loop_
_atom_site_label
_atom_site_type_symbol
_atom_site_fract_x
_atom_site_fract_y
_atom_site_fract_z
_atom_site_occupancy
Nd1 Nd 0.0000 0.0000 0.0000 1
Er1 Er 0.0000 0.0000 0.5000 1
I1 I 0.0000 0.0000 0.4052 1
```

=====

Record 2
The following is a DFT calculation (PBE-GGA) of crystalline AcSm2TaO8 at its relaxed geometry.

ΔE_f (raw), meV/atom: -2866
Fermi-level density of states, states/eV per atom: 0.000
Density, Mg/m³: 8.1
Total energy, eV per cell: -99.46

CIF file:
```
data_AcSm2TaO8
_chemical_formula_sum 'Ac1 Sm2 Ta1 O8'
_space_group_name_H-M_alt 'P 1 2/m 1'
_space_group_IT_number 10
_cell_length_a 5.719
_cell_length_b 4.017
_cell_length_c 7.494
_cell_angle_alpha 90.00
_cell_angle_beta 91.27
_cell_angle_gamma 90.00
loop_
_space_group_symop_operation_xyz
'x,y,z'
'-x,-y,-z'
'-x,y,-z'
'x,-y,z'
loop_
_atom_site_label
_atom_site_type_symbol
_atom_site_fract_x
_atom_site_fract_y
_atom_site_fract_z
_atom_site_occupancy
Ac1 Ac 0.000 0.000 0.000 1
Sm1 Sm 0.494 0.500 0.240 1
Ta1 Ta 0.000 0.000 0.500 1
O1 O 0.100 0.500 0.436 1
O2 O 0.235 0.000 0.694 1
O3 O 0.266 0.500 0.994 1
O4 O 0.267 0.000 0.297 1
```

=====

Record 3
The following is a DFT calculation (PBE-GGA) of crystalline ZrCr2Fe at its relaxed geometry.

Fermi-level density of states, states/eV per atom: 1.102
Density, Mg/m³: 7.3
Total energy, eV per cell: -34.95
ΔE_f, eV per atom: 0.326

CIF file:
```
data_ZrCr2Fe
_chemical_formula_sum 'Zr1 Cr2 Fe1'
_space_group_name_H-M_alt 'P 4/m m m'
_space_group_IT_number 123
_space_group_name_Hall '-P 4 2'
_cell_length_a 4.287
_cell_length_b 4.287
_cell_length_c 3.111
_cell_angle_alpha 90.00
_cell_angle_beta 90.00
_cell_angle_gamma 90.00
loop_
_atom_site_label
_atom_site_type_symbol
_atom_site_fract_x
_atom_site_fract_y
_atom_site_fract_z
_atom_site_occupancy
Zr1 Zr 0.000 0.000 0.000 1
Cr1 Cr 0.000 0.500 0.500 1
Fe1 Fe 0.500 0.500 0.000 1
```

=====

Record 4
The following is a DFT calculation (PBE-GGA) of crystalline Co3W5 at its relaxed geometry.

Fermi-level density of states, states/eV per atom: 1.072
Density, Mg/m³: 16.2
Total energy, eV per cell: -169.62
ΔE_f, eV per atom: 0.159

CIF file:
```
data_Co3W5
_chemical_formula_sum 'Co6 W10'
_space_group_name_H-M_alt 'C m m m'
_space_group_IT_number 65
_space_group_name_Hall '-C 2 2'
_cell_length_a 7.611
_cell_length_b 7.715
_cell_length_c 3.835
_cell_angle_alpha 90.00
_cell_angle_beta 90.00
_cell_angle_gamma 90.00
loop_
_atom_site_label
_atom_site_type_symbol
_atom_site_fract_x
_atom_site_fract_y
_atom_site_fract_z
_atom_site_occupancy
Co1 Co 0.000 0.000 0.000 1
Co2 Co 0.248 0.000 0.500 1
W1 W 0.000 0.229 0.500 1
W2 W 0.000 0.500 0.000 1
W3 W 0.250 0.250 0.000 1
```

=====

Record 5
The following is a DFT calculation (PBE-GGA) of crystalline Pr3ScH at its relaxed geometry.

Fermi-level density of states, states/eV per atom: 1.145
Density, Mg/m³: 5.8
Total energy, eV per cell: -24.67

CIF file:
```
data_Pr3ScH
_chemical_formula_sum 'Pr3 Sc1 H1'
_space_group_name_H-M_alt 'P m -3 m'
_space_group_IT_number 221
_space_group_name_Hall '-P 4 2 3'
_cell_length_a 5.105
_cell_length_b 5.105
_cell_length_c 5.105
_cell_angle_alpha 90.00
_cell_angle_beta 90.00
_cell_angle_gamma 90.00
loop_
_atom_site_label
_atom_site_type_symbol
_atom_site_fract_x
_atom_site_fract_y
_atom_site_fract_z
_atom_site_occupancy
Pr1 Pr 0.000 0.000 0.500 1
Sc1 Sc 0.500 0.500 0.500 1
H1 H 0.000 0.000 0.000 1
```

=====

Record 6
The following is a DFT calculation (PBE-GGA) of crystalline BaLi2Mg4 at its relaxed geometry.

Fermi-level density of states, states/eV per atom: 0.583
Density, Mg/m³: 2.2
Total energy, eV per cell: -24.63
ΔE_f, eV per atom: -0.027

CIF file:
```
data_BaLi2Mg4
_chemical_formula_sum 'Ba2 Li4 Mg8'
_space_group_name_H-M_alt 'C 1 2/m 1'
_space_group_IT_number 12
_cell_length_a 9.953
_cell_length_b 8.004
_cell_length_c 5.927
_cell_angle_alpha 90.00
_cell_angle_beta 125.68
_cell_angle_gamma 90.00
loop_
_space_group_symop_operation_xyz
'x,y,z'
'-x,-y,-z'
'-x,y,-z'
'x,-y,z'
'x+1/2,y+1/2,z'
'-x+1/2,-y+1/2,-z'
'-x+1/2,y+1/2,-z'
'x+1/2,-y+1/2,z'
loop_
_atom_site_label
_atom_site_type_symbol
_atom_site_fract_x
_atom_site_fract_y
_atom_site_fract_z
_atom_site_occupancy
Ba1 Ba 0.000 0.000 0.000 1
Li1 Li 0.000 0.500 0.248 1
Mg1 Mg 0.191 0.193 0.691 1
```

=====

Record 7
The following is a DFT calculation (PBE-GGA) of crystalline ZrTlBW2 at its relaxed geometry.

Fermi-level density of states, states/eV per atom: 1.129
Density, Mg/m³: 8.6
Total energy, eV per cell: -26.61
ΔE_f, eV per atom: 3.377

CIF file:
```
data_ZrTlBW2
_chemical_formula_sum 'Zr1 Tl1 B1 W2'
_space_group_name_H-M_alt 'P 4/m m m'
_space_group_IT_number 123
_space_group_name_Hall '-P 4 2'
_cell_length_a 4.981
_cell_length_b 4.981
_cell_length_c 5.251
_cell_angle_alpha 90.00
_cell_angle_beta 90.00
_cell_angle_gamma 90.00
loop_
_atom_site_label
_atom_site_type_symbol
_atom_site_fract_x
_atom_site_fract_y
_atom_site_fract_z
_atom_site_occupancy
Zr1 Zr 0.000 0.000 0.000 1
Tl1 Tl 0.000 0.000 0.500 1
B1 B 0.500 0.500 0.000 1
W1 W 0.000 0.500 0.500 1
```